[1]
Crystalline LaZrCo3 at its relaxed geometry, computed with PBE.

Summary:
Final energy = -6.3636 eV per atom
ΔE_f = 595 meV per atom
Distance to the lowest polymorph of the same formula = 0.0000 eV/atom

abc: 4.653 4.653 4.653
angles: 90.00 90.00 90.00
Space group Pm-3m (No. 221)
Inequivalent atoms, fractional coordinates:
La: 0.000 0.000 0.000 x1
Zr: 0.500 0.500 0.500 x1
Co: 0.000 0.500 0.500 x3

[2]
Crystalline SmAlZn2Pd2 at its relaxed geometry, computed with PBE.

Summary:
Final energy = -3.8791 eV per atom
ΔE_f = -313 meV per atom

abc: 4.609 4.609 5.697
angles: 90.00 90.00 90.00
Space group P4/mmm (No. 123)
Inequivalent atoms, fractional coordinates:
Sm: 0.000 0.000 0.000 x1
Al: 0.000 0.000 0.500 x1
Zn: 0.500 0.500 0.236 x2
Pd: 0.000 0.500 0.500 x2

[3]
Crystalline PmBi3Rh2 at its relaxed geometry, computed with PBE.

Summary:
Final energy = -5.4850 eV per atom
ΔE_f = -302 meV per atom

abc: 8.0306 8.0306 5.7230
angles: 90.00 90.00 120.00
Space group P-3m1 (No. 164)
Inequivalent atoms, fractional coordinates:
Pm: 0.3333 0.6667 0.2642 x2
Bi: 0.1666 0.3333 0.7370 x6
Rh: 0.0000 0.0000 0.0000 x1
Rh: 0.0000 0.5000 0.0000 x3

[4]
Crystalline Mg2BeFe at its relaxed geometry, computed with PBE.

Summary:
Final energy = -3.4728 eV per atom
ΔE_f = 372 meV per atom

abc: 5.338 8.495 2.698
angles: 90.00 105.97 90.00
Space group C2/m (No. 12)
Inequivalent atoms, fractional coordinates:
Mg: 0.250 0.250 0.000 x4
Be: 0.000 0.000 0.500 x2
Fe: 0.000 0.500 0.500 x2

[5]
Crystalline CaAcInPb at its relaxed geometry, computed with PBE.

Summary:
Final energy = -3.6015 eV per atom
ΔE_f = -462 meV per atom
Distance to the lowest polymorph of the same formula = 0.0049 eV/atom

abc: 8.071 8.071 8.071
angles: 90.00 90.00 90.00
Space group F-43m (No. 216)
Inequivalent atoms, fractional coordinates:
Ca: 0.000 0.000 0.000 x4
Ac: 0.000 0.000 0.500 x4
In: 0.250 0.250 0.250 x4
Pb: 0.250 0.250 0.750 x4

[6]
Crystalline Tl4HgAs at its relaxed geometry, computed with PBE.

Summary:
Final energy = -2.3624 eV per atom
ΔE_f = 40 meV per atom
Distance to the lowest polymorph of the same formula = 0.0000 eV/atom

abc: 10.008 10.944 14.384
angles: 90.00 90.00 90.00
Space group Fddd (No. 70, origin choice 2)
Inequivalent atoms, fractional coordinates:
Tl: 0.118 0.370 0.245 x32
Hg: 0.125 0.125 0.625 x8
As: 0.125 0.125 0.125 x8

[7]
Crystalline YEr at its relaxed geometry, computed with PBE.

Summary:
Final energy = -5.2622 eV per atom
ΔE_f = 251 meV per atom
Distance to the lowest polymorph of the same formula = 0.2469 eV/atom

abc: 3.435 13.083 5.848
angles: 90.00 90.00 90.00
Space group Cmcm (No. 63)
Inequivalent atoms, fractional coordinates:
Y: 0.000 0.206 0.250 x4
Er: 0.000 0.061 0.750 x4

[8]
Crystalline Mn2FeRu at its relaxed geometry, computed with PBE.

Summary:
Final energy = -8.8616 eV per atom
ΔE_f = 158 meV per atom
Distance to the lowest polymorph of the same formula = 0.1433 eV/atom

abc: 5.826 5.826 5.826
angles: 90.00 90.00 90.00
Space group F-43m (No. 216)
Inequivalent atoms, fractional coordinates:
Mn: 0.000 0.000 0.000 x4
Mn: 0.250 0.250 0.250 x4
Fe: 0.000 0.000 0.500 x4
Ru: 0.250 0.250 0.750 x4

[9]
Crystalline Na3SrP4O12 at its relaxed geometry, computed with PBE.

Summary:
Final energy = -6.3923 eV per atom

abc: 11.0636 11.0636 8.8865
angles: 90.00 90.00 120.00
Space group R32 (No. 155, hexagonal axes)
Inequivalent atoms, fractional coordinates:
Na: 0.0000 0.5474 0.0000 x9
Sr: 0.0000 0.0000 0.0000 x3
P: 0.0000 0.0000 0.5000 x3
P: 0.0000 0.4562 0.5000 x9
O: 0.0000 0.5915 0.5000 x9
O: 0.0000 0.8645 0.5000 x9
O: 0.0122 0.2074 0.1656 x18

[10]
Crystalline NaSm5Se6 at its relaxed geometry, computed with PBE.

Summary:
Final energy = -5.6025 eV per atom

abc: 7.225 12.509 7.250
angles: 90.00 109.43 90.00
Space group C2/m (No. 12)
Inequivalent atoms, fractional coordinates:
Na: 0.000 0.000 0.000 x2
Sm: 0.000 0.164 0.500 x4
Sm: 0.000 0.335 0.000 x4
Sm: 0.000 0.500 0.500 x2
Se: 0.248 0.000 0.755 x4
Se: 0.249 0.166 0.250 x8

[11]
Crystalline BaSiAu4 at its relaxed geometry, computed with PBE.

Summary:
Final energy = -3.7583 eV per atom
Distance to the lowest polymorph of the same formula = 0.0388 eV/atom

abc: 9.311 9.311 9.311
angles: 90.00 90.00 90.00
Space group F-43m (No. 216)
Inequivalent atoms, fractional coordinates:
Ba: 0.000 0.000 0.000 x4
Si: 0.000 0.000 0.500 x4
Au: 0.144 0.144 0.356 x16

[12]
Crystalline Be2Os2W at its relaxed geometry, computed with PBE.

Summary:
Final energy = -8.7116 eV per atom
ΔE_f = -139 meV per atom
Distance to the lowest polymorph of the same formula = 0.0000 eV/atom

abc: 6.399 6.399 2.910
angles: 90.00 90.00 90.00
Space group P4/mbm (No. 127)
Inequivalent atoms, fractional coordinates:
Be: 0.126 0.374 0.000 x4
Os: 0.165 0.665 0.500 x4
W: 0.000 0.000 0.000 x2

[13]
Crystalline SrLiSnAs2 at its relaxed geometry, computed with PBE.

Summary:
Final energy = -3.9776 eV per atom
ΔE_f = -598 meV per atom
Distance to the lowest polymorph of the same formula = 0.0000 eV/atom

abc: 12.834 4.993 8.827
angles: 90.00 99.64 90.00
Space group C2/m (No. 12)
Inequivalent atoms, fractional coordinates:
Sr: 0.148 0.000 0.188 x4
Li: 0.160 0.000 0.563 x4
Sn: 0.067 0.500 0.711 x4
As: 0.116 0.000 0.832 x4
As: 0.137 0.500 0.425 x4

[14]
Crystalline SrLi2Hg at its relaxed geometry, computed with PBE.

Summary:
Final energy = -1.5808 eV per atom
ΔE_f = -128 meV per atom

abc: 4.692 4.692 20.870
angles: 90.00 90.00 90.00
Space group I-42d (No. 122)
Inequivalent atoms, fractional coordinates:
Sr: 0.000 0.000 0.000 x4
Li: 0.135 0.250 0.625 x8
Hg: 0.000 0.000 0.500 x4

[15]
Crystalline NdHoZnIr at its relaxed geometry, computed with PBE.

Summary:
Final energy = -5.4198 eV per atom
ΔE_f = -550 meV per atom
Distance to the lowest polymorph of the same formula = 0.0083 eV/atom

abc: 7.079 7.079 7.079
angles: 90.00 90.00 90.00
Space group F-43m (No. 216)
Inequivalent atoms, fractional coordinates:
Nd: 0.000 0.000 0.000 x4
Ho: 0.000 0.000 0.500 x4
Zn: 0.250 0.250 0.750 x4
Ir: 0.250 0.250 0.250 x4

[16]
Crystalline Be2ZnF6 at its relaxed geometry, computed with PBE.

Summary:
Final energy = -5.1493 eV per atom
Distance to the lowest polymorph of the same formula = 0.0000 eV/atom

abc: 9.650 8.849 5.204
angles: 90.00 109.11 90.00
Space group C2/c (No. 15)
Inequivalent atoms, fractional coordinates:
Be: 0.200 0.081 0.236 x8
Zn: 0.000 0.385 0.250 x4
F: 0.123 0.430 0.653 x8
F: 0.147 0.005 0.459 x8
F: 0.148 0.247 0.196 x8

[17]
Crystalline In3N2O at its relaxed geometry, computed with PBE.

Summary:
Final energy = -5.2420 eV per atom

abc: 6.256 10.832 6.278
angles: 90.00 109.60 90.00
Space group Cc (No. 9)
Inequivalent atoms, fractional coordinates:
In: 0.000 0.083 0.000 x4
In: 0.012 0.245 0.499 x4
In: 0.012 0.414 0.008 x4
N: 0.384 0.250 0.629 x4
N: 0.386 0.417 0.129 x4
O: 0.382 0.086 0.126 x4

[18]
Crystalline CsU2Cl11 at its relaxed geometry, computed with PBE.

Summary:
Final energy = -4.8373 eV per atom

abc: 12.595 12.872 14.420
angles: 90.00 90.00 90.00
Space group Ibam (No. 72)
Inequivalent atoms, fractional coordinates:
Cs: 0.000 0.000 0.250 x4
U: 0.140 0.339 0.000 x8
Cl: 0.000 0.500 0.000 x4
Cl: 0.031 0.252 0.123 x16
Cl: 0.235 0.309 0.500 x8
Cl: 0.246 0.430 0.124 x16

[19]
Crystalline CoMoP2W at its relaxed geometry, computed with PBE.

Summary:
Final energy = -7.2371 eV per atom
ΔE_f = 1105 meV per atom

abc: 4.147 4.147 4.643
angles: 90.00 90.00 90.00
Space group P4/mmm (No. 123)
Inequivalent atoms, fractional coordinates:
Co: 0.000 0.000 0.000 x1
Mo: 0.500 0.500 0.500 x1
P: 0.000 0.500 0.000 x2
W: 0.000 0.000 0.500 x1

[20]
Crystalline Ta2NiPt at its relaxed geometry, computed with PBE.

Summary:
Final energy = -9.0205 eV per atom
ΔE_f = -139 meV per atom

abc: 6.312 6.312 6.312
angles: 90.00 90.00 90.00
Space group F-43m (No. 216)
Inequivalent atoms, fractional coordinates:
Ta: 0.000 0.000 0.000 x4
Ta: 0.250 0.250 0.250 x4
Ni: 0.000 0.000 0.500 x4
Pt: 0.250 0.250 0.750 x4

[21]
Crystalline MnTc5 at its relaxed geometry, computed with PBE.

Summary:
Final energy = -9.6300 eV per atom
ΔE_f = 537 meV per atom
Distance to the lowest polymorph of the same formula = 0.4874 eV/atom

abc: 5.0057 5.0057 4.5294
angles: 90.00 90.00 120.00
Space group P6/mmm (No. 191)
Inequivalent atoms, fractional coordinates:
Mn: 0.0000 0.0000 0.0000 x1
Tc: 0.0000 0.5000 0.5000 x3
Tc: 0.3333 0.6667 0.0000 x2

[22]
Crystalline Pm2GaPPt6 at its relaxed geometry, computed with PBE.

Summary:
Final energy = -6.3342 eV per atom
ΔE_f = -916 meV per atom

abc: 5.576 8.596 8.243
angles: 90.00 90.00 90.00
Space group Pmmn (No. 59, origin choice 2)
Inequivalent atoms, fractional coordinates:
Pm: 0.250 0.012 0.229 x4
Ga: 0.250 0.750 0.780 x2
P: 0.250 0.250 0.742 x2
Pt: 0.000 0.250 0.969 x4
Pt: 0.001 0.750 0.514 x4
Pt: 0.250 0.004 0.617 x4

[23]
Crystalline Ca2LaP at its relaxed geometry, computed with PBE.

Summary:
Final energy = -4.0390 eV per atom
ΔE_f = -454 meV per atom

abc: 3.613 3.613 9.472
angles: 90.00 90.00 90.00
Space group P4/mmm (No. 123)
Inequivalent atoms, fractional coordinates:
Ca: 0.000 0.000 0.163 x2
La: 0.500 0.500 0.500 x1
P: 0.500 0.500 0.000 x1